Record 1
# Ca2RhI

A relaxed Ca2RhI crystal (GGA-PBE, Alexandria).

The structure belongs to space group R-3m (No. 166, hexagonal axes); the cell edges are 4.1932, 4.1932 and 23.0357 Å and the angles 90.00°, 90.00° and 120.00°. Symmetry generates all atoms from Ca at (0.0000, 0.0000, 0.2313), Rh at (0.0000, 0.0000, 0.5000) and I at (0.0000, 0.0000, 0.0000).

Record 2
# CaRhI

A relaxed CaRhI crystal (GGA-PBE, Alexandria).

The structure belongs to space group P6_3/mmc (No. 194); the cell edges are 4.5273, 4.5273 and 8.1093 Å and the angles 90.00°, 90.00° and 120.00°. Symmetry generates all atoms from Ca at (0.0000, 0.0000, 0.0000), Rh at (0.3333, 0.6667, 0.2500) and I at (0.3333, 0.6667, 0.7500).

Record 3
# CaRhI

A relaxed CaRhI crystal (GGA-PBE, Alexandria).

The structure belongs to space group C2/m (No. 12); the cell edges are 10.512, 4.041 and 9.069 Å and the angles 90.00°, 122.30° and 90.00°. Symmetry generates all atoms from Ca at (0.005, 0.000, 0.207), Rh at (0.240, 0.500, 0.889) and I at (0.222, 0.000, 0.672).

Record order is preserved below.
E_tot: -0.2902, -0.3038, -0.3099 Ry/atom
Record order is preserved below.
Size of the total moment: 0.00, 0.00, 0.00 μB/f.u.